# 1
Density functional theory data (PBE-GGA) for a relaxed Rb2ZnSiS4 crystal.

The structure in POSCAR format:
```
Rb2ZnSiS4
1.0
7.074 0.001 -0.005
-0.001 7.074 -0.004
-3.534 -3.535 4.280
Rb Zn Si S
2 1 1 4
Direct
0.486 0.986 0.972
0.236 0.236 0.472
0.986 0.486 0.972
0.736 0.736 0.472
0.734 0.638 0.729
0.834 0.476 0.214
0.380 0.738 0.214
0.996 0.092 0.730
```

Total energy in eV for the cell shown: -33.1
N(E_F) in states/eV/f.u.: 0.00
Formation energy (no corrections) in meV/atom: -994
Space group: I-4

---

# 2
Density functional theory data (PBE-GGA) for a relaxed Pm4NdTl4 crystal.

The structure in POSCAR format:
```
Pm4NdTl4
1.0
6.236 0.000 0.000
0.000 9.404 0.000
0.000 0.000 9.404
Pm Nd Tl
8 2 8
Direct
0.376 0.425 0.834
0.876 0.666 0.925
0.376 0.575 0.166
0.124 0.075 0.666
0.624 0.834 0.575
0.124 0.925 0.334
0.876 0.334 0.075
0.624 0.166 0.425
0.000 0.000 0.000
0.500 0.500 0.500
0.611 0.897 0.209
0.611 0.103 0.791
0.111 0.709 0.603
0.889 0.397 0.709
0.889 0.603 0.291
0.389 0.209 0.103
0.389 0.791 0.897
0.111 0.291 0.397
```

Total energy in eV for the cell shown: -70.0
N(E_F) in states/eV/f.u.: 7.69
Space group: P4_2/n

---

# 3
Density functional theory data (PBE-GGA) for a relaxed Cs2NpSnI6 crystal.

The structure in POSCAR format:
```
Cs2NpSnI6
1.0
9.002 0.000 0.000
0.000 9.008 0.000
0.000 0.000 12.673
Cs Np Sn I
4 2 2 12
Direct
0.500 0.751 0.241
0.000 0.249 0.741
0.500 0.751 0.759
0.000 0.249 0.259
0.000 0.749 0.500
0.500 0.251 0.000
0.500 0.249 0.500
0.000 0.751 0.000
0.500 0.250 0.247
0.500 0.250 0.753
0.000 0.750 0.253
0.000 0.750 0.747
0.246 0.996 0.500
0.754 0.996 0.500
0.245 0.501 0.500
0.755 0.501 0.500
0.745 0.499 0.000
0.255 0.499 0.000
0.254 0.004 0.000
0.746 0.004 0.000
```

Total energy in eV for the cell shown: -74.6
N(E_F) in states/eV/f.u.: 15.09
Formation energy (no corrections) in meV/atom: -933
Space group: Pmmn